Entry 1:
Computed, not measured: Tb4ReHg after structural relaxation at the GGA-PBE level of DFT.

a b c (Å): 6.2945 7.7225 7.7225
angles (deg): 112.84 98.61 98.61
Last column: nearest neighbours and their distance in Å.
Sites, in units of the cell vectors:
Tb 0.9047 0.6398 0.7957  2 Re 2.95-3.01, 2 Hg 3.22-3.28
Tb 0.0413 0.9352 0.2773  2 Re 2.83-2.86
Tb 0.5953 0.2043 0.3602  2 Re 2.95-3.01, 2 Hg 3.22-3.28
Tb 0.4587 0.7227 0.0648  2 Re 2.83-2.86
Tb 0.5413 0.2773 0.9352  2 Re 2.83-2.86
Tb 0.4047 0.7957 0.6398  2 Re 2.95-3.01, 2 Hg 3.22-3.28
Tb 0.9587 0.0648 0.7227  2 Re 2.83-2.86
Tb 0.0953 0.3602 0.2043  2 Re 2.95-3.01, 2 Hg 3.22-3.28
Re 0.2500 0.9992 0.0008  8 Tb 2.83-3.01, 2 Re 3.15
Re 0.7500 0.0008 0.9992  8 Tb 2.83-3.01, 2 Re 3.15
Hg 0.7500 0.6271 0.3729  8 Tb 3.17-3.31
Hg 0.2500 0.3729 0.6271  8 Tb 3.17-3.31

## Properties
Its crystal system is monoclinic. The formation energy is -0.20 eV per atom. For the density of states at the Fermi level, the calculation gives 0.79 states/eV per atom.

Entry 2:
Computed, not measured: Re2TcHg after structural relaxation at the GGA-PBE level of DFT.

a b c (Å): 2.8224 2.8224 8.1273
angles (deg): 90.00 90.00 90.00
Last column: nearest neighbours and their distance in Å.
Sites, in units of the cell vectors:
Hg 0.5000 0.5000 0.7500  4 Hg 2.82, 8 Re 3.01
Re 0.0000 0.0000 0.0265  4 Tc 2.70, 4 Re 2.82, 4 Hg 3.01
Re 0.0000 0.0000 0.4735  4 Tc 2.70, 4 Re 2.82, 4 Hg 3.01
Tc 0.5000 0.5000 0.2500  8 Re 2.70, 4 Tc 2.82

## Properties
Its crystal system is tetragonal. The formation energy is 0.46 eV per atom. For the density of states at the Fermi level, the calculation gives 0.50 states/eV per atom.

Entry 3:
Computed, not measured: Re2TcHg after structural relaxation at the GGA-PBE level of DFT.

a b c (Å): 4.0122 2.8376 6.4079
angles (deg): 63.74 90.00 90.00
Last column: nearest neighbours and their distance in Å.
Sites, in units of the cell vectors:
Hg 0.5000 0.7500 0.7500  2 Hg 2.84, 2 Tc 2.87, 8 Re 2.96-2.97
Re 0.0000 0.9627 0.0388  1 Re 2.43
Re 0.0000 0.5373 0.4612  1 Re 2.43
Tc 0.5000 0.2500 0.2500  8 Re 2.74, 2 Tc 2.84, 2 Hg 2.87

## Properties
Its crystal system is orthorhombic. The formation energy is 0.50 eV per atom. For the density of states at the Fermi level, the calculation gives 0.73 states/eV per atom.

Entry 4:
Computed, not measured: Re2TcHg after structural relaxation at the GGA-PBE level of DFT.

a b c (Å): 4.6842 4.6842 2.9464
angles (deg): 90.00 90.00 90.00
Last column: nearest neighbours and their distance in Å.
Sites, in units of the cell vectors:
Hg 0.0000 0.5000 0.5000  8 Re 2.77, 2 Hg 2.95
Re 0.0000 0.0000 0.0000  4 Hg 2.77, 4 Tc 2.77, 2 Re 2.95
Re 0.5000 0.5000 0.0000  4 Hg 2.77, 4 Tc 2.77, 2 Re 2.95
Tc 0.5000 0.0000 0.5000  8 Re 2.77, 2 Tc 2.95

## Properties
Its crystal system is tetragonal. The formation energy is 0.95 eV per atom. For the density of states at the Fermi level, the calculation gives 1.08 states/eV per atom.